First-principles (PBE) data for ZrTl2Se after structural relaxation, as listed in Alexandria via LeMat-Bulk.

Results
Distance to the lowest polymorph of the same formula (meV/atom): 157
Total magnetic moment (μB/f.u.): 0.0
N(E_F) (states/eV/cell): 2.80
Uncorrected formation energy (eV per formula unit): -1.19

a = 6.437 Å, b = 6.437 Å, c = 5.303 Å
α = 65.70°, β = 65.70°, γ = 31.29°
Sites, in units of the cell vectors:
Tl1 0.770 0.770 0.729
Tl2 0.985 0.985 0.016
Se1 0.211 0.211 0.289
Zr1 0.534 0.534 0.466